This record from Alexandria via LeMat-Bulk describes a relaxed structure of Na2Sr3Sb3. The functional is GGA-PBE.

Summary:
Total DFT energy (no corrections)   -26.2 eV per formula unit
E_form (uncorrected)   -0.773 eV/atom
Space-group type   P6_3/mcm
ρ   3.94 Mg/m³

Unit cell a=6.7999 b=9.8195 c=9.8195 alpha=120.00 beta=90.00 gamma=90.00
Last column: nearest neighbours and their distance in Å.
Sites, in units of the cell vectors:
Na1 0.0000 0.3333 0.6667  2 Na 3.40, 6 Sb 3.57
Na2 0.5000 0.6667 0.3333  2 Na 3.40, 6 Sb 3.57
Na3 0.0000 0.6667 0.3333  2 Na 3.40, 6 Sb 3.57
Na4 0.5000 0.3333 0.6667  2 Na 3.40, 6 Sb 3.57
Sr1 0.7500 0.2997 0.0000  5 Sb 3.30-3.46
Sr2 0.7500 0.7003 0.7003  5 Sb 3.30-3.46
Sr3 0.7500 0.0000 0.2997  5 Sb 3.30-3.46
Sr4 0.2500 0.7003 0.0000  5 Sb 3.30-3.46
Sr5 0.2500 0.2997 0.2997  5 Sb 3.30-3.46
Sr6 0.2500 0.0000 0.7003  5 Sb 3.30-3.46
Sb1 0.7500 0.6364 0.0000  5 Sr 3.30-3.46, 4 Na 3.57
Sb2 0.7500 0.3636 0.3636  5 Sr 3.30-3.46, 4 Na 3.57
Sb3 0.7500 0.0000 0.6364  5 Sr 3.30-3.46, 4 Na 3.57
Sb4 0.2500 0.3636 0.0000  5 Sr 3.30-3.46, 4 Na 3.57
Sb5 0.2500 0.6364 0.6364  5 Sr 3.30-3.46, 4 Na 3.57
Sb6 0.2500 0.0000 0.3636  5 Sr 3.30-3.46, 4 Na 3.57